Record 1
A relaxed structure of Co2HgMo2. Source: Alexandria via LeMat-Bulk, functional PBE.

Summary:
As for the space-group type: P4/mbm.

Unit cell a=7.2913 b=7.2913 c=2.7393 alpha=90.00 beta=90.00 gamma=90.00
Atoms (fractional coordinates):
Co: 0.1227 0.3773 0.0000
Co: 0.3773 0.8773 0.0000
Co: 0.6227 0.1227 0.0000
Co: 0.8773 0.6227 0.0000
Hg: 0.0000 0.0000 0.0000
Hg: 0.5000 0.5000 0.0000
Mo: 0.1671 0.6671 0.5000
Mo: 0.3329 0.1671 0.5000
Mo: 0.6671 0.8329 0.5000
Mo: 0.8329 0.3329 0.5000

Record 2
A relaxed structure of CoHg2Mo. Source: Alexandria via LeMat-Bulk, functional PBE.

Summary:
As for the space-group type: R3m.

Unit cell a=9.9183 b=9.9183 c=9.9183 alpha=16.88 beta=16.88 gamma=16.88
Atoms (fractional coordinates):
Co: 0.0000 0.0000 0.0000
Hg: 0.5163 0.5163 0.5163
Hg: 0.7454 0.7454 0.7454
Mo: 0.2714 0.2714 0.2714

Record 3
A relaxed structure of CoHg2Mo. Source: Alexandria via LeMat-Bulk, functional PBE.

Summary:
As for the space-group type: Fm-3m.

Unit cell a=4.5911 b=4.5911 c=4.5911 alpha=60.00 beta=60.00 gamma=60.00
Atoms (fractional coordinates):
Co: 0.0000 0.0000 0.0000
Hg: 0.2500 0.2500 0.2500
Hg: 0.7500 0.7500 0.7500
Mo: 0.5000 0.5000 0.5000

Calculated excess energy over the best structure of this formula in the dataset, 0; 110; 452 meV per atom (same order as the records).
Calculated E, -6.9836; -4.2009; -3.8582 eV per atom (same order as the records).
Calculated formation energy, 5.8; 10.0; 17.9 kcal/mol of atoms (same order as the records).